The following is a PBE-GGA calculation of an optimized crystal structure of HgOsRh3, from Alexandria.

As for the symmetry: Pm-3m (221). Its energy above the most stable polymorph in this dataset is 0 meV per atom. The value obtained for the formation enthalpy at 0 K is 1.181 eV/atom.

Cell: 4.7292 4.7292 4.7292 Å, 90.00 90.00 90.00°
Positions (direct):
Rh: 0.0000 0.5000 0.0000
Rh: 0.0000 0.0000 0.5000
Rh: 0.5000 0.0000 0.0000
Os: 0.0000 0.0000 0.0000
Hg: 0.5000 0.5000 0.5000

=====

The following is a PBE-GGA calculation of an optimized crystal structure of CsTlFeCl4, from Alexandria.

As for the symmetry: P2_1/m (11). The total energy comes out at -3.919 eV/atom.

Cell: 7.1322 7.3987 9.6679 Å, 90.00 109.72 90.00°
Positions (direct):
Cs: 0.6975 0.7500 0.9194
Cs: 0.3025 0.2500 0.0806
Tl: 0.7935 0.7500 0.4636
Tl: 0.2065 0.2500 0.5364
Fe: 0.2106 0.7500 0.3006
Fe: 0.7894 0.2500 0.6994
Cl: 0.9981 0.4963 0.7533
Cl: 0.0019 0.9963 0.2467
Cl: 0.0019 0.5037 0.2467
Cl: 0.9981 0.0037 0.7533
Cl: 0.4128 0.7500 0.1588
Cl: 0.5872 0.2500 0.8412
Cl: 0.3923 0.7500 0.5466
Cl: 0.6077 0.2500 0.4534

=====

The following is a PBE-GGA calculation of an optimized crystal structure of KMg2Cl, from Alexandria.

As for the symmetry: C2/m (12). Its energy above the most stable polymorph in this dataset is 48 meV per atom.

Cell: 7.0974 7.0974 5.1141 Å, 68.83 68.83 28.73°
Positions (direct):
Cl: 0.7500 0.7500 0.7500
K: 0.2500 0.2500 0.2500
Mg: 0.0267 0.0267 0.9737
Mg: 0.4733 0.4733 0.5263

=====

The following is a PBE-GGA calculation of an optimized crystal structure of SmDy2ScTl4, from Alexandria.

As for the symmetry: R-3m (166). The value obtained for the formation enthalpy at 0 K is -0.317 eV/atom.

Cell: 5.3219 5.3219 9.2748 Å, 73.33 73.33 60.00°
Positions (direct):
Sm: 0.0000 0.0000 0.0000
Dy: 0.7516 0.7516 0.7452
Dy: 0.2484 0.2484 0.2548
Sc: 0.5000 0.5000 0.5000
Tl: 0.3776 0.3776 0.8672
Tl: 0.8728 0.8728 0.3815
Tl: 0.1272 0.1272 0.6185
Tl: 0.6224 0.6224 0.1328